The following is a DFT calculation (GGA-PBE) of a relaxed La2Y2In3 crystal.

Lattice parameters (Å, degrees): 3.5753 3.5530 16.4976 90.00 96.17 90.00
Space group P2/m (No. 10)
Asymmetric unit:
La  0.1954  0.0000  0.3935 [2 per cell]
Y  0.0639  0.0000  0.1285 [2 per cell]
In  0.3719  0.5000  0.7422 [2 per cell]
In  0.5000  0.5000  0.0000 [1 per cell]

Output
electronic total energy	-33.668	eV per cell
DOS at the Fermi energy	6.53	states/eV/cell
density	6.376	Mg/m³
energy of formation	-36.8	kJ/mol of atoms